# 1
Compound: Li3FeN
Source: Alexandria
Functional: PBE
Structure: optimized geometry

The theoretical density is 2.5 g/cm³. The value obtained for the total moment is 3.824 Bohr magnetons per cell. The energy above the most stable polymorph in this dataset is 0 meV/atom. Its uncorrected formation energy is 1.6 eV per formula unit. The total energy comes out at -0.3073 Ry/atom.

The structure belongs to space group Pm-3m (No. 221); the cell edges are 3.934, 3.934 and 3.934 Å and the angles 90.00°, 90.00° and 90.00°. The asymmetric unit holds Li at (0.000, 0.000, 0.500), Fe at (0.500, 0.500, 0.500) and N at (0.000, 0.000, 0.000).

# 2
Compound: Li3FeN
Source: Alexandria
Functional: PBE
Structure: optimized geometry

The theoretical density is 1.5 g/cm³. The value obtained for the total moment is 4.000 Bohr magnetons per cell. The energy above the most stable polymorph in this dataset is 1218 meV/atom. Its uncorrected formation energy is 7.7 eV per formula unit. The total energy comes out at -0.2178 Ry/atom.

The structure belongs to space group Pm-3m (No. 221); the cell edges are 4.666, 4.666 and 4.666 Å and the angles 90.00°, 90.00° and 90.00°. The asymmetric unit holds Li at (0.000, 0.000, 0.500), Fe at (0.000, 0.000, 0.000) and N at (0.500, 0.500, 0.500).

Which value of theoretical density does entry 2 give? 1.5 g/cm³

Number 1 is which compound? Li3FeN

Which value of total moment does entry 1 give? 3.824 Bohr magnetons per cell